## Ba3Sr (PBEsol)

Data for crystalline Ba3Sr at its relaxed geometry.

Cell: 4.844 4.844 9.626 Å, 90.00 90.00 90.00°
Atoms (fractional coordinates):
Ba 0.000 0.000 0.000
Ba 0.500 0.500 0.254
Ba 0.500 0.500 0.746
Sr 0.000 0.000 0.500

The space-group type is P4/mmm. The calculated total energy is -2.070 eV/atom. The spin magnetization comes out at 0.0 μB/f.u.